[1]
KICl2: relaxed, GGA-PBEsol.

Properties
The calculation puts the magnetic moment at 0.00 μB per cell. As for the space-group type: P2_1/c. The calculation puts the uncorrected formation energy at -1.0745 eV/atom. As for the density of states at the Fermi level: 0.000 states/eV/atom.

Cell lengths 8.390, 10.929, 12.120 Å; angles 90.00, 108.54, 90.00 degrees
Atoms (fractional coordinates):
Cl (0.365, 0.143, 0.429)
Cl (0.635, 0.643, 0.071)
Cl (0.635, 0.857, 0.571)
Cl (0.365, 0.357, 0.929)
Cl (0.897, 0.823, 0.339)
Cl (0.103, 0.323, 0.161)
Cl (0.103, 0.177, 0.661)
Cl (0.897, 0.677, 0.839)
Cl (0.675, 0.198, 0.261)
Cl (0.325, 0.698, 0.239)
Cl (0.325, 0.802, 0.739)
Cl (0.675, 0.302, 0.761)
Cl (0.764, 0.991, 0.908)
Cl (0.236, 0.491, 0.592)
Cl (0.236, 0.009, 0.092)
Cl (0.764, 0.509, 0.408)
I (0.131, 0.982, 0.385)
I (0.869, 0.482, 0.115)
I (0.869, 0.018, 0.615)
I (0.131, 0.518, 0.885)
I (0.714, 0.097, 0.081)
I (0.286, 0.597, 0.419)
I (0.286, 0.903, 0.919)
I (0.714, 0.403, 0.581)
K (0.033, 0.302, 0.406)
K (0.967, 0.802, 0.094)
K (0.967, 0.698, 0.594)
K (0.033, 0.198, 0.906)
K (0.541, 0.942, 0.312)
K (0.459, 0.442, 0.188)
K (0.459, 0.058, 0.688)
K (0.541, 0.558, 0.812)

=====

[2]
KMgI2Cl: relaxed, GGA-PBEsol.

Properties
The calculation puts the magnetic moment at 0.00 μB per cell. As for the space-group type: P4/mmm. The calculation puts the uncorrected formation energy at -0.8821 eV/atom.

Cell lengths 5.392, 5.392, 15.281 Å; angles 90.00, 90.00, 90.00 degrees
Atoms (fractional coordinates):
I (0.000, 0.500, 0.000)
I (0.500, 0.000, 0.000)
K (0.000, 0.000, 0.500)
Mg (0.000, 0.000, 0.000)
Cl (0.500, 0.500, 0.500)